Y3HgSe | SCAN | PBEsol geometry

Calculated values
The uncorrected formation energy is -4.466 kcal/mol of atoms. The space group is Pm-3m.

Cell lengths 5.5038, 5.5038, 5.5038 Å; angles 90.00, 90.00, 90.00 degrees
With the nearest neighbours (Å) after each atom.
Atoms (fractional coordinates):
Y 0.0000 0.0000 0.5000  2 Hg 2.75
Y 0.0000 0.5000 0.0000  2 Hg 2.75
Y 0.5000 0.0000 0.0000  2 Hg 2.75
Hg 0.0000 0.0000 0.0000  6 Y 2.75
Se 0.5000 0.5000 0.5000  12 Y 3.89

MgOsW | SCAN | PBEsol geometry

Calculated values
As for the formation energy from the elements: 1.35 eV per formula unit. The calculation puts the energy above the most stable polymorph in this dataset at 342 meV/atom. The space group is F-43m.

Cell lengths 4.2396, 4.2396, 4.2396 Å; angles 60.00, 60.00, 60.00 degrees
With the nearest neighbours (Å) after each atom.
Atoms (fractional coordinates):
Mg 0.0000 0.0000 0.0000  4 Os 2.60
Os 0.7500 0.7500 0.7500  4 W 2.60, 4 Mg 2.60
W 0.5000 0.5000 0.5000  4 Os 2.60

Os2RuBr | SCAN | PBEsol geometry

Calculated values
The uncorrected formation energy is 27.377 kcal/mol of atoms. The calculation puts the energy above the most stable polymorph in this dataset at 380 meV/atom. The space group is P2/m.

Cell lengths 2.8361, 4.1106, 5.2224 Å; angles 90.00, 104.67, 90.00 degrees
With the nearest neighbours (Å) after each atom.
Atoms (fractional coordinates):
Os 0.1296 0.0000 0.2500  2 Br 2.52, 1 Os 2.53, 4 Ru 2.78-2.82
Os 0.8704 0.0000 0.7500  2 Br 2.52, 1 Os 2.53, 4 Ru 2.78-2.82
Ru 0.5000 0.5000 0.0000  2 Br 2.61, 8 Os 2.78-2.82, 2 Ru 2.84
Br 0.5000 0.5000 0.5000  4 Os 2.52, 2 Ru 2.61

Number 1: final energy -34.548 eV/atom. Number 2: final energy -48.397 eV/atom. Number 3: final energy -48.324 eV/atom.